(1)
Below is crystalline KTcP2Os at its relaxed geometry, with properties calculated at the PBE level.

Unit cell a=4.5475 b=4.5475 c=5.9392 alpha=90.00 beta=90.00 gamma=90.00
Space group P4/mmm (No. 123)
Asymmetric unit:
K: 0.0000 0.0000 0.0000 x1
Tc: 0.5000 0.5000 0.0000 x1
P: 0.0000 0.5000 0.5000 x2
Os: 0.0000 0.0000 0.5000 x1

For the energy of formation from the pure elements, the calculation gives 1.350 eV per atom. The total magnetization comes out at 4.01 μB per formula unit. Its crystal system is tetragonal. Its total energy is -26.8 eV/cell.

---

(2)
Below is crystalline KTlPOs at its relaxed geometry, with properties calculated at the PBE level.

Unit cell a=4.1393 b=4.1393 c=12.7934 alpha=90.00 beta=90.00 gamma=90.00
Space group P4/nmm (No. 129, origin choice 2)
Asymmetric unit:
K: 0.2500 0.2500 0.2296 x2
Tl: 0.2500 0.7500 0.5000 x2
P: 0.2500 0.2500 0.9105 x2
Os: 0.2500 0.7500 0.0000 x2

For the energy of formation from the pure elements, the calculation gives -0.199 eV per atom. The total magnetization comes out at 0.00 μB per formula unit. Its crystal system is tetragonal. Its total energy is -41.8 eV/cell.

---

(3)
Below is crystalline KZnPOs at its relaxed geometry, with properties calculated at the PBE level.

Unit cell a=3.9176 b=3.9176 c=12.8042 alpha=90.00 beta=90.00 gamma=90.00
Space group P4/nmm (No. 129, origin choice 2)
Asymmetric unit:
K: 0.2500 0.2500 0.2473 x2
Zn: 0.2500 0.7500 0.5000 x2
P: 0.2500 0.2500 0.8974 x2
Os: 0.2500 0.7500 0.0000 x2

For the energy of formation from the pure elements, the calculation gives -0.197 eV per atom. The total magnetization comes out at 0.00 μB per formula unit. Its crystal system is tetragonal. Its total energy is -39.6 eV/cell.

---

(4)
Below is crystalline KOs2Pb at its relaxed geometry, with properties calculated at the PBE level.

Unit cell a=4.0248 b=4.0248 c=10.0907 alpha=90.00 beta=90.00 gamma=90.00
Space group I4/mmm (No. 139)
Asymmetric unit:
K: 0.0000 0.0000 0.0000 x2
Os: 0.0000 0.5000 0.2500 x4
Pb: 0.0000 0.0000 0.5000 x2

For the energy of formation from the pure elements, the calculation gives 1.663 eV per atom. The total magnetization comes out at 0.64 μB per formula unit. Its crystal system is tetragonal. Its total energy is -41.2 eV/cell.